Record 1
# Cd2InSn

A relaxed structure of Cd2InSn (PBE-GGA, Alexandria via LeMat-Bulk).

Geometry as extended XYZ:
```
4
Lattice="4.8521 0.0000 0.0000 2.4260 4.2020 0.0000 2.4260 1.4007 5.5163" Properties=species:S:1:pos:R:3 pbc="T T T"
Cd 2.4260 1.4007 4.2583
Cd 2.4260 1.4007 1.2166
Sn 7.2781 4.2020 5.3376
In 4.8521 2.8013 2.9782
```

## Properties
Formation energy from the elements in eV/atom: 0.081
Polymorph energy (0 for the lowest one) in eV/atom: 0.043
Space group: R3m (160)
Energy in eV per atom: -2.061

Record 2
# InF4

A relaxed structure of InF4 (PBE-GGA, Alexandria via LeMat-Bulk).

Geometry as extended XYZ:
```
5
Lattice="4.1941 0.0000 0.0000 0.0000 4.1941 0.0000 0.0000 0.0000 4.1941" Properties=species:S:1:pos:R:3 pbc="T T T"
In 2.0971 2.0971 2.0971
F 0.0000 0.0000 0.0000
F 0.0000 2.0971 2.0971
F 2.0971 2.0971 0.0000
F 2.0971 0.0000 2.0971
```

## Properties
ΔE_f (raw) in eV/atom: -1.78
Space group: Pm-3m (221)
Energy in eV per atom: -3.828

Record 3
# CaLaSb2

A relaxed structure of CaLaSb2 (PBE-GGA, Alexandria via LeMat-Bulk).

Geometry as extended XYZ:
```
4
Lattice="-5.9587 2.4805 -1.2836 -4.5670 -3.5817 -3.1018 4.1896 -0.5497 5.0450" Properties=species:S:1:pos:R:3 pbc="T T T"
Sb -3.5155 0.6903 0.7846
Sb -10.5236 -1.1010 -4.3845
Ca -5.2637 -0.5507 -2.1930
La -2.8201 -2.3410 -0.1247
```

## Properties
ΔE_f (raw) in eV/atom: -0.93
Polymorph energy (0 for the lowest one) in eV/atom: 0.048
Space group: I-4m2 (119)
Energy in eV per atom: -4.720

Record 4
# KZr3Au

A relaxed structure of KZr3Au (PBE-GGA, Alexandria via LeMat-Bulk).

Geometry as extended XYZ:
```
5
Lattice="5.3483 0.0000 0.0000 0.0000 5.3483 0.0000 0.0000 0.0000 5.3483" Properties=species:S:1:pos:R:3 pbc="T T T"
K 2.6742 2.6742 2.6742
Zr 0.0000 2.6742 0.0000
Zr 0.0000 0.0000 2.6742
Zr 2.6742 0.0000 0.0000
Au 0.0000 0.0000 0.0000
```

## Properties
Formation energy from the elements in eV/atom: 0.773
Polymorph energy (0 for the lowest one) in eV/atom: 0.000
Space group: Pm-3m (221)
Energy in eV per atom: -5.231

Record 5
# Tb3Si4Rh2

A relaxed structure of Tb3Si4Rh2 (PBE-GGA, Alexandria via LeMat-Bulk).

Geometry as extended XYZ:
```
9
Lattice="4.1434 0.0000 0.0000 -2.0717 5.3760 -0.1312 0.0000 -2.3510 7.7111" Properties=species:S:1:pos:R:3 pbc="T T T"
Si 0.0000 0.0738 3.1002
Si 0.0000 0.8350 7.0686
Rh 2.0717 1.1898 2.7406
Tb 0.0000 0.0000 0.0000
Tb 0.0000 3.3923 2.2401
Si 2.0717 2.9513 4.4797
Rh 0.0000 1.8353 4.8393
Si 2.0717 2.1900 0.5113
Tb 2.0717 -0.3672 5.3398
```

## Properties
ΔE_f (raw) in eV/atom: -0.95
Space group: C2/m (12)
Energy in eV per atom: -6.533

Record 6
# Pm3InCo

A relaxed structure of Pm3InCo (PBE-GGA, Alexandria via LeMat-Bulk).

Geometry as extended XYZ:
```
10
Lattice="5.3215 0.0000 1.4861 2.2248 5.7881 2.3041 0.2830 0.2294 9.2572" Properties=species:S:1:pos:R:3 pbc="T T T"
Pm 4.8334 3.8849 3.2339
Pm 1.6820 2.0855 4.2477
Pm 2.9960 2.1327 9.8135
In 3.8970 1.5187 6.5868
Pm 0.8125 0.2109 7.3613
Co 5.6097 2.0940 10.7248
Pm 6.1473 3.9321 8.7997
Pm 7.0168 5.8067 5.6861
In 3.9323 4.4989 6.4606
Co 2.2196 3.9236 2.3226
```

## Properties
Formation energy from the elements in eV/atom: -0.206
Polymorph energy (0 for the lowest one) in eV/atom: 0.000
Space group: C2/m (12)
Energy in eV per atom: -5.025

Record 7
# SmErAlCd

A relaxed structure of SmErAlCd (PBE-GGA, Alexandria via LeMat-Bulk).

Geometry as extended XYZ:
```
4
Lattice="-3.3807 -0.8290 1.0987 0.0029 -2.9179 -2.1929 2.8564 -4.2134 5.6101" Properties=species:S:1:pos:R:3 pbc="T T T"
Al 1.0514 -1.5509 2.0650
Sm -1.3457 -2.3797 0.1269
Er 0.0159 -4.3881 2.8010
Cd 2.4078 -3.5515 4.7289
```

## Properties
Formation energy from the elements in eV/atom: -0.359
Polymorph energy (0 for the lowest one) in eV/atom: 0.000
Space group: P4mm (99)
Energy in eV per atom: -3.844

Record 8
# Zr6C2N

A relaxed structure of Zr6C2N (PBE-GGA, Alexandria via LeMat-Bulk).

Geometry as extended XYZ:
```
18
Lattice="-4.3731 0.3354 -3.3077 2.1063 -3.9491 -3.1851 -4.7406 -7.0100 5.5566" Properties=species:S:1:pos:R:3 pbc="T T T"
C -0.7934 -1.1731 0.9299
Zr -4.6508 -2.8842 -1.4188
C -2.7103 -4.1387 -1.3980
Zr -1.4542 -2.2282 -1.0169
Zr -3.9649 -6.0472 -1.7893
N -2.3703 -3.5050 2.7783
Zr -6.2108 -5.1909 0.4096
Zr -4.6348 -6.9314 2.7112
N -1.1334 -1.8069 -3.2464
Zr -0.7966 -5.4328 -1.3459
Zr 0.7878 -3.0773 -3.2101
Zr -3.0546 -0.5364 -3.2828
Zr -2.3566 -7.7395 0.4826
Zr -3.0424 -4.5765 0.8530
C -3.9472 -5.8368 4.6267
Zr -5.5532 -8.3955 0.0806
C -4.2970 -6.4850 0.4618
Zr -2.3726 -3.6923 -3.6475
```

## Properties
ΔE_f (raw) in eV/atom: -0.79
Polymorph energy (0 for the lowest one) in eV/atom: 0.000
Space group: P4_2/mnm (136)
Energy in eV per atom: -9.460

Record 9
# CdFe4P

A relaxed structure of CdFe4P (PBE-GGA, Alexandria via LeMat-Bulk).

Geometry as extended XYZ:
```
6
Lattice="0.0000 3.4422 3.4422 3.4422 0.0000 3.4422 3.4422 3.4422 0.0000" Properties=species:S:1:pos:R:3 pbc="T T T"
Cd 0.0000 0.0000 0.0000
Fe 2.5817 4.3027 2.5817
Fe 4.3027 4.3027 4.3027
P 1.7211 1.7211 1.7211
Fe 4.3027 2.5817 2.5817
Fe 2.5817 2.5817 4.3027
```

## Properties
Formation energy from the elements in eV/atom: 0.359
Space group: F-43m (216)
Energy in eV per atom: -6.337

Record 10
# Li3Mg2Cd4Hg2

A relaxed structure of Li3Mg2Cd4Hg2 (PBE-GGA, Alexandria via LeMat-Bulk).

Geometry as extended XYZ:
```
11
Lattice="-1.5303 -1.0761 4.4803 4.7523 0.3944 -0.9128 -0.4425 11.2164 2.5430" Properties=species:S:1:pos:R:3 pbc="T T T"
Cd 0.2640 7.0160 4.4061
Cd 2.2969 9.0584 2.9603
Hg 0.1536 9.8133 5.0403
Li 0.0000 0.0000 0.0000
Cd 0.4825 1.4763 3.1501
Li -0.3165 8.0224 1.8189
Hg 2.6258 0.7215 1.0702
Li -0.1260 3.1940 0.7242
Mg 2.4066 6.2779 2.3299
Cd 2.5155 3.5188 1.7044
Mg 0.3728 4.2568 3.7805
```

## Properties
Formation energy from the elements in eV/atom: -0.156
Space group: P-3m1 (164)
Energy in eV per atom: -1.355

Record 11
# K2S5

A relaxed structure of K2S5 (PBE-GGA, Alexandria via LeMat-Bulk).

Geometry as extended XYZ:
```
28
Lattice="7.0902 0.0000 0.0000 0.0000 9.5869 0.0000 0.0000 0.0000 12.7366" Properties=species:S:1:pos:R:3 pbc="T T T"
S 3.0884 6.7317 11.1245
S 3.1896 4.9790 12.0901
K 0.3092 8.5167 4.7654
S 4.8635 3.9855 11.5510
S 5.7717 5.6014 5.1828
S 2.2266 8.7790 7.5538
K 3.8542 5.8637 7.9712
K 3.0793 7.6598 1.6006
S 0.4566 2.8552 4.7562
S 6.7347 9.4013 0.6464
K 6.7810 3.7232 1.6029
K 6.6243 6.7206 11.1359
S 2.2026 5.7632 4.6830
S 5.7477 8.6172 8.0536
S 3.9005 0.1856 7.0147
K 4.0109 2.8664 4.7676
S 6.6335 7.6486 1.6121
S 4.8876 0.9697 1.6853
S 2.4509 4.8322 2.9239
S 1.3185 0.8079 1.1855
S 4.0017 1.9383 7.9803
K 0.4658 1.9271 7.9689
S 4.6393 0.0387 3.4444
K 3.2359 1.0702 11.1337
S 5.9959 9.5482 9.8127
S 1.3425 3.8237 11.0513
S 1.0942 4.7547 9.2922
S 0.3554 4.6079 5.7219
```

## Properties
ΔE_f (raw) in eV/atom: -0.55
Space group: P2_12_12_1 (19)
Energy in eV per atom: -3.814

Record 12
# TcBr2N

A relaxed structure of TcBr2N (PBE-GGA, Alexandria via LeMat-Bulk).

Geometry as extended XYZ:
```
4
Lattice="0.0000 3.1413 3.1413 3.1413 0.0000 3.1413 3.1413 3.1413 0.0000" Properties=species:S:1:pos:R:3 pbc="T T T"
Br 4.7120 4.7120 4.7120
N 0.0000 0.0000 0.0000
Tc 3.1413 3.1413 3.1413
Br 1.5707 1.5707 1.5707
```

## Properties
ΔE_f (raw) in eV/atom: 1.73
Polymorph energy (0 for the lowest one) in eV/atom: 0.247
Space group: Fm-3m (225)
Energy in eV per atom: -3.784